P:
First-principles (GGA-PBE) data for crystalline ZnFeTe2N at its relaxed geometry, as listed in Alexandria via LeMat-Bulk.

abc: 5.346 5.346 3.387
angles: 90.00 90.00 90.00
Fractional positions:
Zn (0.500, 0.500, 0.500)
Te (0.000, 0.500, 0.000)
Te (0.500, 0.000, 0.000)
Fe (0.000, 0.000, 0.000)
N (0.000, 0.000, 0.500)

Computed properties:
The spin magnetization comes out at 0.000 μB/f.u. For the calculated volume, the calculation gives 19.362 Å³ per atom.

---

Q:
First-principles (GGA-PBE) data for crystalline ZnFeTe2N at its relaxed geometry, as listed in Alexandria via LeMat-Bulk.

abc: 5.375 5.375 3.522
angles: 90.00 90.00 90.00
Last column: magnetic moment on the atom in μB.
Fractional positions:
Zn (0.000, 0.000, 0.000)  0.00
Te (0.000, 0.500, 0.000)  0.00
Te (0.500, 0.000, 0.000)  0.00
Fe (0.500, 0.500, 0.500)  -0.08
N (0.000, 0.000, 0.500)  -0.07

Computed properties:
The spin magnetization comes out at 0.158 μB/f.u. For the calculated volume, the calculation gives 20.351 Å³ per atom.

---

P has the most favorable energy; the next structure is 1102 meV/atom above.

---

P:
First-principles (GGA-PBE) data for crystalline ZrFeTe2N at its relaxed geometry, as listed in Alexandria via LeMat-Bulk.

abc: 5.271 5.271 3.474
angles: 90.00 90.00 90.00
Last column: magnetic moment on the atom in μB.
Fractional positions:
Te (0.000, 0.500, 0.000)  0.00
Te (0.500, 0.000, 0.000)  0.00
Fe (0.000, 0.000, 0.000)  0.04
Zr (0.500, 0.500, 0.500)  0.20
N (0.000, 0.000, 0.500)  0.00

Computed properties:
The spin magnetization comes out at 0.353 μB/f.u. For the calculated volume, the calculation gives 19.305 Å³ per atom.

---

Q:
First-principles (GGA-PBE) data for crystalline ZrFeTe2N at its relaxed geometry, as listed in Alexandria via LeMat-Bulk.

abc: 5.747 5.747 3.985
angles: 90.00 90.00 90.00
Last column: magnetic moment on the atom in μB.
Fractional positions:
Te (0.000, 0.500, 0.000)  -0.01
Te (0.500, 0.000, 0.000)  -0.01
Fe (0.500, 0.500, 0.500)  3.37
Zr (0.000, 0.000, 0.000)  0.02
N (0.000, 0.000, 0.500)  -0.11

Computed properties:
The spin magnetization comes out at 3.403 μB/f.u. For the calculated volume, the calculation gives 26.325 Å³ per atom.

---

P has the most favorable energy; the next structure is 434 meV/atom above.

---

P:
First-principles (GGA-PBE) data for crystalline TiFe3N at its relaxed geometry, as listed in Alexandria via LeMat-Bulk.

abc: 4.314 4.314 4.314
angles: 90.00 90.00 90.00
Last column: magnetic moment on the atom in μB.
Fractional positions:
N (0.500, 0.500, 0.500)  0.43
Fe (0.000, 0.500, 0.000)  2.38
Fe (0.000, 0.000, 0.500)  2.31
Fe (0.500, 0.000, 0.000)  2.28
Ti (0.000, 0.000, 0.000)  -0.92

Computed properties:
The spin magnetization comes out at 6.650 μB/f.u. For the calculated volume, the calculation gives 16.054 Å³ per atom.

---

Q:
First-principles (GGA-PBE) data for crystalline TiFe3N at its relaxed geometry, as listed in Alexandria via LeMat-Bulk.

abc: 3.752 3.752 3.752
angles: 90.00 90.00 90.00
Last column: magnetic moment on the atom in μB.
Fractional positions:
N (0.000, 0.000, 0.000)  -0.01
Fe (0.000, 0.500, 0.000)  0.60
Fe (0.000, 0.000, 0.500)  0.75
Fe (0.500, 0.000, 0.000)  0.65
Ti (0.500, 0.500, 0.500)  -0.39

Computed properties:
The spin magnetization comes out at 1.495 μB/f.u. For the calculated volume, the calculation gives 10.563 Å³ per atom.

---

Q has the most favorable energy; the next structure is 2469 meV/atom above.